## BaInIF4 (GGA-PBE)

Data for crystalline BaInIF4 at its relaxed geometry.

Cell lengths 7.1985, 7.1985, 7.9837 Å; angles 77.03, 77.03, 65.16 degrees
With the nearest neighbours (Å) after each atom.
Fractional positions:
F 0.3913 0.3913 0.1204  1 In 2.11
F 0.6127 0.0176 0.7744  1 In 2.07
F 0.0176 0.6127 0.7744  1 In 2.07
F 0.9824 0.3873 0.2256  1 In 2.07
F 0.6087 0.6087 0.8796  1 In 2.11
F 0.3908 0.3908 0.4516  1 In 2.15
F 0.3873 0.9824 0.2256  1 In 2.07
F 0.6092 0.6092 0.5484  1 In 2.15
I 0.8933 0.8933 0.3275  1 In 2.75
I 0.1067 0.1067 0.6725  1 In 2.75
In 0.7518 0.7518 0.6598  4 F 2.07-2.15
In 0.2482 0.2482 0.3402  4 F 2.07-2.15
Ba 0.5942 0.5942 0.2155  6 F 2.57-2.76
Ba 0.4058 0.4058 0.7845  6 F 2.57-2.76

Its space group is C2/m. The uncorrected formation energy is -2.679 eV/atom.


## AlZnS2O (GGA-PBE)

Data for crystalline AlZnS2O at its relaxed geometry.

Cell lengths 4.9427, 3.3538, 4.9427 Å; angles 90.00, 90.00, 90.00 degrees
With the nearest neighbours (Å) after each atom.
Fractional positions:
S 0.5000 0.0000 0.0000  2 Al 2.47
S 0.0000 0.0000 0.5000  2 Al 2.47
Zn 0.5000 0.5000 0.5000  8 S 2.99
O 0.0000 0.5000 0.0000  2 Al 1.68
Al 0.0000 0.0000 0.0000  2 O 1.68

Its space group is P4/mmm. The uncorrected formation energy is -0.616 eV/atom.


## Pu2NpPa8 (GGA-PBE)

Data for crystalline Pu2NpPa8 at its relaxed geometry.

Cell lengths 5.7935, 7.0359, 7.0359 Å; angles 73.40, 88.48, 88.48 degrees
With the nearest neighbours (Å) after each atom.
Fractional positions:
Pa 0.7737 0.4595 0.8618  1 Pu 2.53
Pa 0.6202 0.8703 0.8703  1 Pu 2.49, 1 Np 2.68
Pa 0.2263 0.1382 0.5405  1 Pu 2.53
Pa 0.7737 0.8618 0.4595  1 Pu 2.53
Pa 0.2263 0.5405 0.1382  1 Pu 2.53
Pa 0.3798 0.1297 0.1297  1 Pu 2.49, 1 Np 2.68
Pa 0.7357 0.4064 0.4064  1 Pu 2.53
Pa 0.2643 0.5936 0.5936  1 Pu 2.53
Np 0.0000 0.0000 0.0000  2 Pu 2.36
Pu 0.2065 0.8166 0.8166  1 Np 2.36, 4 Pa 2.49-2.53
Pu 0.7935 0.1834 0.1834  1 Np 2.36, 4 Pa 2.49-2.53

Its space group is C2/m. The formation energy comes out at 0.231 eV/atom.


## ZrZn2Au (GGA-PBE)

Data for crystalline ZrZn2Au at its relaxed geometry.

Cell lengths 4.6692, 4.6692, 5.3644 Å; angles 78.73, 78.73, 38.87 degrees
With the nearest neighbours (Å) after each atom.
Fractional positions:
Au 0.2500 0.2500 0.2500  6 Zn 2.71-2.74
Zn 0.9938 0.9938 0.0334  3 Au 2.71-2.74, 2 Zn 2.82, 3 Zr 2.88-2.90
Zn 0.5062 0.5062 0.4666  3 Au 2.71-2.74, 2 Zn 2.82, 3 Zr 2.88-2.90
Zr 0.7500 0.7500 0.7500  6 Zn 2.88-2.90, 4 Au 3.10, 2 Zr 3.11

Its space group is C2/m. The formation energy comes out at -0.209 eV/atom.


## Sm2ScBi (GGA-PBE)

Data for crystalline Sm2ScBi at its relaxed geometry.

Cell lengths 4.2063, 4.2063, 6.6514 Å; angles 90.00, 90.00, 90.00 degrees
With the nearest neighbours (Å) after each atom.
Fractional positions:
Sc 0.5000 0.5000 0.5000  2 Bi 3.33, 8 Sm 3.42
Bi 0.5000 0.5000 0.0000  2 Sc 3.33, 8 Sm 3.39
Sm 0.0000 0.0000 0.2449  2 Sm 3.26-3.39, 4 Bi 3.39, 4 Sc 3.42
Sm 0.0000 0.0000 0.7551  2 Sm 3.26-3.39, 4 Bi 3.39, 4 Sc 3.42

Its space group is P4/mmm. The formation energy comes out at -0.386 eV/atom. The relative energy among the computed polymorphs comes out at 0.000 eV per atom.


## Mo2PbBr (GGA-PBE)

Data for crystalline Mo2PbBr at its relaxed geometry.

Cell lengths 3.0680, 5.3851, 4.8556 Å; angles 90.00, 90.00, 90.00 degrees
With the nearest neighbours (Å) after each atom.
Fractional positions:
Mo 0.0000 0.0000 0.0000  4 Pb 2.87, 6 Mo 3.07-3.10
Mo 0.5000 0.5000 0.0000  4 Br 2.87, 6 Mo 3.07-3.10
Pb 0.5000 0.0000 0.5000  4 Mo 2.87, 2 Pb 3.07, 4 Br 3.10
Br 0.0000 0.5000 0.5000  4 Mo 2.87, 2 Br 3.07, 4 Pb 3.10

Its space group is Pmmm. The uncorrected formation energy is 0.998 eV/atom. The relative energy among the computed polymorphs comes out at 0.788 eV per atom.


## CuTcCl2 (GGA-PBE)

Data for crystalline CuTcCl2 at its relaxed geometry.

Cell lengths 5.6078, 5.6078, 6.3134 Å; angles 63.63, 63.63, 90.00 degrees
With the nearest neighbours (Å) after each atom.
Fractional positions:
Cl 0.6170 0.1250 0.2500  2 Cu 2.31, 2 Tc 2.36
Cl 0.3750 0.3830 0.7500  2 Cu 2.31, 2 Tc 2.36
Cl 0.1330 0.6250 0.2500  2 Cu 2.31, 2 Tc 2.36
Cl 0.8750 0.8670 0.7500  2 Cu 2.31, 2 Tc 2.36
Cu 0.5000 0.5000 0.0000  4 Cl 2.31
Cu 0.2500 0.7500 0.5000  4 Cl 2.31
Tc 0.0000 0.0000 0.0000  4 Cl 2.36
Tc 0.7500 0.2500 0.5000  4 Cl 2.36

Its space group is I-42d. The uncorrected formation energy is 0.495 eV/atom. The relative energy among the computed polymorphs comes out at 0.500 eV per atom.


## TaIn2Rh (GGA-PBE)

Data for crystalline TaIn2Rh at its relaxed geometry.

Cell lengths 5.2110, 5.2110, 2.9738 Å; angles 90.00, 90.00, 111.97 degrees
With the nearest neighbours (Å) after each atom.
Fractional positions:
Rh 0.5000 0.5000 0.5000  2 Ta 2.92, 2 Rh 2.97, 8 In 3.00
Ta 0.0000 0.0000 0.5000  2 Rh 2.92, 2 Ta 2.97, 8 In 3.00
In 0.0000 0.5000 0.0000  4 In 2.92-2.97, 4 Ta 3.00, 4 Rh 3.00
In 0.5000 0.0000 0.0000  4 In 2.92-2.97, 4 Ta 3.00, 4 Rh 3.00

Its space group is Cmmm. The formation energy comes out at 0.105 eV/atom.


## Rb3Tl9Cd2 (GGA-PBE)

Data for crystalline Rb3Tl9Cd2 at its relaxed geometry.

Cell lengths 5.3200, 10.0548, 10.0548 Å; angles 73.77, 74.66, 74.66 degrees
With the nearest neighbours (Å) after each atom.
Fractional positions:
Tl 0.3305 0.0291 0.3098  4 Tl 3.20-3.39, 1 Cd 3.24
Tl 0.6695 0.9709 0.6902  4 Tl 3.20-3.39, 1 Cd 3.24
Tl 0.8720 0.4056 0.8504  4 Tl 3.20-3.31, 2 Cd 3.31
Tl 0.0000 0.5000 0.5000  4 Tl 3.31, 4 Cd 3.57
Tl 0.3305 0.3098 0.0291  4 Tl 3.20-3.39, 1 Cd 3.24
Tl 0.6695 0.6902 0.9709  4 Tl 3.20-3.39, 1 Cd 3.24
Tl 0.8720 0.8504 0.4056  4 Tl 3.20-3.31, 2 Cd 3.31
Tl 0.1280 0.1496 0.5944  4 Tl 3.20-3.31, 2 Cd 3.31
Tl 0.1280 0.5944 0.1496  4 Tl 3.20-3.31, 2 Cd 3.31
Rb 0.3058 0.6942 0.6942  10 Tl 3.77-3.97, 2 Cd 3.79
Rb 0.0000 0.0000 0.0000  12 Tl 3.87-4.07
Rb 0.6942 0.3058 0.3058  10 Tl 3.77-3.97, 2 Cd 3.79
Cd 0.5000 0.6971 0.3029  8 Tl 3.24-3.57
Cd 0.5000 0.3029 0.6971  8 Tl 3.24-3.57

Its space group is Immm. The formation energy comes out at -0.043 eV/atom.


## Ac6BiTe3Pb2 (GGA-PBE)

Data for crystalline Ac6BiTe3Pb2 at its relaxed geometry.

Cell lengths 4.8484, 9.6118, 10.7597 Å; angles 102.18, 103.02, 90.00 degrees
With the nearest neighbours (Å) after each atom.
Fractional positions:
Te 0.8348 0.1668 0.6697  6 Ac 3.45-3.47
Te 0.1652 0.8332 0.3303  6 Ac 3.45-3.47
Te 0.5000 0.5000 0.0000  6 Ac 3.43-3.46
Pb 0.1663 0.3317 0.3327  6 Ac 3.34-3.37
Pb 0.8337 0.6683 0.6673  6 Ac 3.34-3.37
Ac 0.3336 0.9093 0.6671  2 Pb 3.35, 1 Bi 3.41, 3 Te 3.45-3.46
Ac 0.3309 0.4231 0.6617  3 Pb 3.37, 3 Te 3.46-3.47
Ac 0.9968 0.7506 0.9935  1 Pb 3.34, 2 Bi 3.40, 3 Te 3.43-3.45
Ac 0.6664 0.0907 0.3329  2 Pb 3.35, 1 Bi 3.41, 3 Te 3.45-3.46
Ac 0.6691 0.5769 0.3383  3 Pb 3.37, 3 Te 3.46-3.47
Ac 0.0032 0.2494 0.0065  1 Pb 3.34, 2 Bi 3.40, 3 Te 3.43-3.45
Bi 0.5000 0.0000 0.0000  6 Ac 3.40-3.41

Its space group is C2/m. The uncorrected formation energy is -1.141 eV/atom.


## Sr9In3N2 (GGA-PBE)

Data for crystalline Sr9In3N2 at its relaxed geometry.

Cell lengths 7.5876, 7.5876, 18.9974 Å; angles 90.00, 90.00, 120.00 degrees
With the nearest neighbours (Å) after each atom.
Fractional positions:
In 0.3333 0.6667 0.0786  12 Sr 3.80-4.02
In 0.0000 0.0000 0.2500  12 Sr 3.80-3.83
In 0.3333 0.6667 0.4214  12 Sr 3.80-4.02
In 0.6667 0.3333 0.5786  12 Sr 3.80-4.02
In 0.6667 0.3333 0.9214  12 Sr 3.80-4.02
In 0.0000 0.0000 0.7500  12 Sr 3.80-3.83
N 0.6667 0.3333 0.3393  6 Sr 2.49-2.65
N 0.3333 0.6667 0.8393  6 Sr 2.49-2.65
N 0.6667 0.3333 0.1607  6 Sr 2.49-2.65
N 0.3333 0.6667 0.6607  6 Sr 2.49-2.65
Sr 0.1749 0.8251 0.5887  1 N 2.49
Sr 0.4878 0.5122 0.7500  2 N 2.65
Sr 0.6502 0.8251 0.9113  1 N 2.49
Sr 0.1749 0.8251 0.9113  1 N 2.49
Sr 0.6502 0.8251 0.5887  1 N 2.49
Sr 0.5122 0.4878 0.2500  2 N 2.65
Sr 0.0244 0.5122 0.7500  2 N 2.65
Sr 0.5122 0.0244 0.2500  2 N 2.65
Sr 0.8251 0.1749 0.4113  1 N 2.49
Sr 0.3498 0.1749 0.4113  1 N 2.49
Sr 0.1749 0.3498 0.5887  1 N 2.49
Sr 0.9756 0.4878 0.2500  2 N 2.65
Sr 0.8251 0.6502 0.0887  1 N 2.49
Sr 0.4878 0.9756 0.7500  2 N 2.65
Sr 0.8251 0.1749 0.0887  1 N 2.49
Sr 0.8251 0.6502 0.4113  1 N 2.49
Sr 0.3498 0.1749 0.0887  1 N 2.49
Sr 0.1749 0.3498 0.9113  1 N 2.49

Its space group is P6_3/mmc. The uncorrected formation energy is -0.452 eV/atom.